HoEr3Ga4: relaxed, PBE.

a b c (Å): 3.5424 6.7015 16.4532
angles (deg): 90.00 90.00 90.00
Element x y z (fractional)
Ho1 0.0000 0.0000 0.0000
Ho2 0.5000 0.5000 0.5000
Er1 0.0000 0.0000 0.5000
Er2 0.0000 0.5000 0.2974
Er3 0.0000 0.5000 0.7026
Er4 0.5000 0.0000 0.2026
Er5 0.5000 0.0000 0.7974
Er6 0.5000 0.5000 0.0000
Ga1 0.0000 0.3070 0.1298
Ga2 0.0000 0.3070 0.8702
Ga3 0.0000 0.6930 0.1298
Ga4 0.0000 0.6930 0.8702
Ga5 0.5000 0.1930 0.3702
Ga6 0.5000 0.1930 0.6298
Ga7 0.5000 0.8070 0.3702
Ga8 0.5000 0.8070 0.6298

Computed properties:
calculated total energy = -68.1 eV per cell
magnetization = 0.000 μB/atom
D(E_F) = 8.18 states/eV per cell
energy relative to the elements = -0.46 eV per atom
space group = Immm
energy above the most stable polymorph in this dataset = 114.5 meV/atom



HoErGa2: relaxed, PBE.

a b c (Å): 3.6119 3.6119 25.9949
angles (deg): 90.00 90.00 120.00
Element x y z (fractional)
Ho1 0.0000 0.0000 0.0000
Ho2 0.3333 0.6667 0.6667
Ho3 0.6667 0.3333 0.3333
Er1 0.0000 0.0000 0.5000
Er2 0.3333 0.6667 0.1667
Er3 0.6667 0.3333 0.8333
Ga1 0.0000 0.0000 0.2497
Ga2 0.0000 0.0000 0.7503
Ga3 0.3333 0.6667 0.4169
Ga4 0.3333 0.6667 0.9164
Ga5 0.6667 0.3333 0.0836
Ga6 0.6667 0.3333 0.5831

Computed properties:
calculated total energy = -50.7 eV per cell
magnetization = 0.000 μB/atom
D(E_F) = 5.78 states/eV per cell
energy relative to the elements = -0.43 eV per atom
space group = R-3m



Ho2ErGa3: relaxed, PBE.

a b c (Å): 5.0156 5.0156 12.3147
angles (deg): 90.00 90.00 120.00
Element x y z (fractional)
Ho1 0.0000 0.0000 0.0000
Ho2 0.0000 0.0000 0.5000
Ho3 0.3333 0.6667 0.1672
Ho4 0.6667 0.3333 0.8328
Er1 0.3333 0.6667 0.6667
Er2 0.6667 0.3333 0.3333
Ga1 0.0000 0.0000 0.2504
Ga2 0.0000 0.0000 0.7496
Ga3 0.3333 0.6667 0.4170
Ga4 0.3333 0.6667 0.9165
Ga5 0.6667 0.3333 0.0835
Ga6 0.6667 0.3333 0.5830

Computed properties:
calculated total energy = -52.5 eV per cell
magnetization = 0.000 μB/atom
D(E_F) = 4.51 states/eV per cell
energy relative to the elements = -0.58 eV per atom
space group = P-3m1
energy above the most stable polymorph in this dataset = 0.0 meV/atom



Ho2Er8Ga: relaxed, PBE.

a b c (Å): 9.8598 9.8598 6.3131
angles (deg): 94.27 94.27 31.89
Element x y z (fractional)
Ho1 0.2424 0.2424 0.3316
Ho2 0.7576 0.7576 0.6684
Er1 0.0426 0.0426 0.2565
Er2 0.1557 0.1557 0.8072
Er3 0.3438 0.3438 0.8761
Er4 0.4227 0.4227 0.3924
Er5 0.5773 0.5773 0.6076
Er6 0.6562 0.6562 0.1239
Er7 0.8443 0.8443 0.1928
Er8 0.9574 0.9574 0.7435
Ga1 0.5000 0.5000 0.0000

Computed properties:
calculated total energy = -49.5 eV per cell
magnetization = 0.000 μB/atom
D(E_F) = 14.57 states/eV per cell
energy relative to the elements = -0.08 eV per atom
space group = C2/m